(1)
A relaxed ZrNb3Mo crystal, computed with PBE.

Calculated volume, Å³ per cell: 113.1
Excess energy over the best structure of this formula in the dataset, kcal/mol of atoms: 0.00
Space-group type: Pm-3m, No. 221
Total magnetization, μB per formula unit: 0.00

Unit cell a=4.8356 b=4.8356 c=4.8356 alpha=90.00 beta=90.00 gamma=90.00
Last column: nearest neighbours and their distance in Å.
Fractional positions:
Nb 0.0000 0.0000 0.5000  2 Mo 2.42
Nb 0.0000 0.5000 0.0000  2 Mo 2.42
Nb 0.5000 0.0000 0.0000  2 Mo 2.42
Mo 0.0000 0.0000 0.0000  6 Nb 2.42
Zr 0.5000 0.5000 0.5000  12 Nb 3.42

=====

(2)
A relaxed Ta2CrCu crystal, computed with PBE.

Calculated volume, Å³ per cell: 61.8
Space-group type: F-43m, No. 216
Total magnetization, μB per formula unit: 0.95
VASP energy, eV/atom: -9.056

Unit cell a=4.4381 b=4.4381 c=4.4381 alpha=60.00 beta=60.00 gamma=60.00
Last column: nearest neighbours and their distance in Å.
Fractional positions:
Cu 0.2500 0.2500 0.2500  4 Ta 2.72, 4 Cr 2.72
Cr 0.5000 0.5000 0.5000  4 Cu 2.72, 4 Ta 2.72
Ta 0.7500 0.7500 0.7500  4 Cr 2.72, 4 Ta 2.72
Ta 0.0000 0.0000 0.0000  4 Cu 2.72, 4 Ta 2.72

=====

(3)
A relaxed DyTmCoRh crystal, computed with PBE.

Calculated volume, Å³ per cell: 76.0
Excess energy over the best structure of this formula in the dataset, kcal/mol of atoms: 0.00
Space-group type: P4mm, No. 99
Total magnetization, μB per formula unit: 0.46

Unit cell a=3.3436 b=3.3436 c=6.7940 alpha=90.00 beta=90.00 gamma=90.00
Last column: nearest neighbours and their distance in Å.
Fractional positions:
Co 0.5000 0.5000 0.1107  4 Tm 2.87, 4 Dy 2.90
Rh 0.5000 0.5000 0.6023  4 Tm 2.92, 4 Dy 2.96
Dy 0.0000 0.0000 0.8642  4 Co 2.90, 4 Rh 2.96
Tm 0.0000 0.0000 0.3507  4 Co 2.87, 4 Rh 2.92

=====

- Among the records above, which one has the lowest total magnetization?
  ZrNb3Mo